Run 1
# DyUFe3

Crystalline DyUFe3 at its relaxed geometry (GGA-PBE, the Alexandria database).

It has space group P2_1/c (No. 14), with a = 7.2493 Å, b = 5.5275 Å, c = 9.4491 Å, α = 90.00°, β = 116.55° and γ = 90.00°. The asymmetric unit holds Dy at (0.0855, 0.0890, 0.1946), U at (0.3807, 0.6927, 0.0732), Fe at (0.1020, 0.6101, 0.1077), Fe at (0.3190, 0.2123, 0.5489) and Fe at (0.3848, 0.0199, 0.8573).

For the density of states at the Fermi level, the calculation gives 20.46 states/eV/cell. The value obtained for the total moment is 3.7 μB per cell.



Run 2
# DyUFe3

Crystalline DyUFe3 at its relaxed geometry (GGA-PBE, the Alexandria database).

It has space group Cmcm (No. 63), with a = 5.8795 Å, b = 10.4985 Å, c = 5.3964 Å, α = 90.00°, β = 90.00° and γ = 90.00°. The asymmetric unit holds Dy at (0.0000, 0.0818, 0.2500), U at (0.0000, 0.2766, 0.7500), Fe at (0.0000, 0.5000, 0.0000) and Fe at (0.2104, 0.3443, 0.2500).

For the density of states at the Fermi level, the calculation gives 19.38 states/eV/cell. The value obtained for the total moment is 4.9 μB per cell.



Stability, highest: run 2



Run 1
# Dy2YFe

Crystalline Dy2YFe at its relaxed geometry (GGA-PBE, the Alexandria database).

It has space group R-3m (No. 166, hexagonal axes), with a = 3.4717 Å, b = 3.4717 Å, c = 31.6850 Å, α = 90.00°, β = 90.00° and γ = 120.00°. The asymmetric unit holds Dy at (0.0000, 0.0000, 0.1082), Y at (0.0000, 0.0000, 0.0000) and Fe at (0.0000, 0.0000, 0.5000).

For the density of states at the Fermi level, the calculation gives 16.02 states/eV/cell. The value obtained for the total moment is 1.5 μB per cell.



Run 2
# Dy2YFe

Crystalline Dy2YFe at its relaxed geometry (GGA-PBE, the Alexandria database).

It has space group Pnma (No. 62), with a = 7.0848 Å, b = 9.1737 Å, c = 6.2544 Å, α = 90.00°, β = 90.00° and γ = 90.00°. The asymmetric unit holds Dy at (0.1740, 0.0669, 0.1712), Y at (0.0478, 0.2500, 0.6365) and Fe at (0.1095, 0.7500, 0.9594).

For the density of states at the Fermi level, the calculation gives 14.54 states/eV/cell. The value obtained for the total moment is 0.0 μB per cell.



Stability, highest: run 2



Run 1
# Dy2ZnFe

Crystalline Dy2ZnFe at its relaxed geometry (GGA-PBE, the Alexandria database).

It has space group R-3m (No. 166, hexagonal axes), with a = 3.5749 Å, b = 3.5749 Å, c = 28.9244 Å, α = 90.00°, β = 90.00° and γ = 120.00°. The asymmetric unit holds Dy at (0.0000, 0.0000, 0.1081), Zn at (0.0000, 0.0000, 0.0000) and Fe at (0.0000, 0.0000, 0.5000).

For the density of states at the Fermi level, the calculation gives 8.80 states/eV/cell. The value obtained for the total moment is 2.0 μB per cell.



Run 2
# Dy2ZnFe

Crystalline Dy2ZnFe at its relaxed geometry (GGA-PBE, the Alexandria database).

It has space group Fm-3m (No. 225), with a = 6.9271 Å, b = 6.9271 Å, c = 6.9271 Å, α = 90.00°, β = 90.00° and γ = 90.00°. The asymmetric unit holds Dy at (0.2500, 0.2500, 0.2500), Zn at (0.0000, 0.0000, 0.0000) and Fe at (0.0000, 0.0000, 0.5000).

For the density of states at the Fermi level, the calculation gives 20.15 states/eV/cell. The value obtained for the total moment is 4.8 μB per cell.



Stability, highest: run 2



Run 1
# Dy5Ga2

Crystalline Dy5Ga2 at its relaxed geometry (GGA-PBE, the Alexandria database).

It has space group Ibam (No. 72), with a = 7.9172 Å, b = 14.3687 Å, c = 6.4928 Å, α = 90.00°, β = 90.00° and γ = 90.00°. The asymmetric unit holds Dy at (0.0000, 0.0000, 0.2500), Dy at (0.0000, 0.2333, 0.2500), Dy at (0.1594, 0.4191, 0.0000) and Ga at (0.2249, 0.3724, 0.5000).

For the density of states at the Fermi level, the calculation gives 29.74 states/eV/cell. The value obtained for the total moment is 0.0 μB per cell.



Run 2
# Dy5Ga2

Crystalline Dy5Ga2 at its relaxed geometry (GGA-PBE, the Alexandria database).

It has space group C2/c (No. 15), with a = 15.7001 Å, b = 6.2092 Å, c = 8.0766 Å, α = 90.00°, β = 97.62° and γ = 90.00°. The asymmetric unit holds Dy at (0.0000, 0.1250, 0.2500), Dy at (0.0949, 0.3642, 0.9237), Dy at (0.2205, 0.0840, 0.3186) and Ga at (0.1034, 0.1936, 0.5819).

For the density of states at the Fermi level, the calculation gives 33.15 states/eV/cell. The value obtained for the total moment is 0.0 μB per cell.



Stability, highest: run 2



Run 1
# Dy3Ga5

Crystalline Dy3Ga5 at its relaxed geometry (GGA-PBE, the Alexandria database).

It has space group Fdd2 (No. 43), with a = 5.9534 Å, b = 17.9100 Å, c = 13.3532 Å, α = 90.00°, β = 90.00° and γ = 90.00°. The asymmetric unit holds Dy at (0.0000, 0.0000, 0.0000), Dy at (0.0008, 0.3254, 0.0012), Ga at (0.0000, 0.0000, 0.4762), Ga at (0.0234, 0.3331, 0.5920) and Ga at (0.0315, 0.1712, 0.9049).

For the density of states at the Fermi level, the calculation gives 45.20 states/eV/cell. The value obtained for the total moment is 0.0 μB per cell.



Run 2
# Dy3Ga5

Crystalline Dy3Ga5 at its relaxed geometry (GGA-PBE, the Alexandria database).

It has space group Pnma (No. 62), with a = 11.4456 Å, b = 9.6996 Å, c = 6.1191 Å, α = 90.00°, β = 90.00° and γ = 90.00°. The asymmetric unit holds Dy at (0.0749, 0.2500, 0.1527), Dy at (0.1482, 0.5103, 0.6105), Ga at (0.0058, 0.2500, 0.6301), Ga at (0.0900, 0.5527, 0.1269), Ga at (0.1990, 0.7500, 0.9001) and Ga at (0.2480, 0.7500, 0.3250).

For the density of states at the Fermi level, the calculation gives 19.55 states/eV/cell. The value obtained for the total moment is 0.0 μB per cell.



Stability, highest: run 2



Run 1
# Dy5Ga3

Crystalline Dy5Ga3 at its relaxed geometry (GGA-PBE, the Alexandria database).

It has space group I4/mcm (No. 140), with a = 7.6087 Å, b = 7.6087 Å, c = 14.2340 Å, α = 90.00°, β = 90.00° and γ = 90.00°. The asymmetric unit holds Dy at (0.0000, 0.0000, 0.0000), Dy at (0.1701, 0.3299, 0.1477), Ga at (0.0000, 0.0000, 0.2500) and Ga at (0.1219, 0.3781, 0.5000).

For the density of states at the Fermi level, the calculation gives 26.96 states/eV/cell. The value obtained for the total moment is 0.0 μB per cell.



Run 2
# Dy5Ga3

Crystalline Dy5Ga3 at its relaxed geometry (GGA-PBE, the Alexandria database).

It has space group I4/mcm (No. 140), with a = 11.6755 Å, b = 11.6755 Å, c = 5.9239 Å, α = 90.00°, β = 90.00° and γ = 90.00°. The asymmetric unit holds Dy at (0.0000, 0.5000, 0.2500), Dy at (0.0850, 0.2136, 0.0000), Ga at (0.0000, 0.0000, 0.2500) and Ga at (0.1593, 0.3407, 0.5000).

For the density of states at the Fermi level, the calculation gives 22.26 states/eV/cell. The value obtained for the total moment is 0.0 μB per cell.



Stability, highest: run 1